No. 1
## Rb2Sm2BiS6 (PBE)

Data for Rb2Sm2BiS6 after structural relaxation.

Structure (POSCAR):
```
Rb2Sm2BiS6
1.0
3.548 -6.138 0.000
3.548 6.138 0.000
-2.350 0.000 7.938
Rb Sm Bi S
2 2 1 6
direct
0.167 0.833 0.000
0.833 0.167 0.000
0.333 0.667 0.500
0.667 0.333 0.500
0.000 0.000 0.500
0.062 0.393 0.691
0.262 0.262 0.309
0.393 0.062 0.691
0.607 0.938 0.309
0.738 0.738 0.691
0.938 0.607 0.309
```

Summary:
ΔE_f (raw)   -31.09 kcal/mol of atoms

***

No. 2
## Dy4Er3Zr (PBE)

Data for Dy4Er3Zr after structural relaxation.

Structure (POSCAR):
```
Dy4Er3Zr
1.0
11.296 -1.690 0.000
11.296 1.690 0.000
-1.955 0.000 6.356
Dy Er Zr
4 3 1
direct
0.120 0.120 0.356
0.259 0.259 0.761
0.741 0.741 0.239
0.880 0.880 0.644
0.000 0.000 0.500
0.119 0.119 0.885
0.881 0.881 0.115
0.500 0.500 0.000
```

Summary:
Energy relative to the elements   0.206 eV/atom
Energy relative to the lowest polymorph listed for this composition   0.166 eV/atom

***

No. 3
## SrCaIn6 (PBE)

Data for SrCaIn6 after structural relaxation.

Structure (POSCAR):
```
SrCaIn6
1.0
5.050 0.000 0.000
0.000 6.785 0.000
0.000 0.000 6.644
Sr Ca In
1 1 6
direct
0.000 0.000 0.000
0.500 0.500 0.232
0.000 0.263 0.466
0.000 0.500 0.896
0.000 0.737 0.466
0.500 0.000 0.353
0.500 0.252 0.762
0.500 0.748 0.762
```

Summary:
Energy relative to the elements   -0.293 eV/atom
Energy relative to the lowest polymorph listed for this composition   0.007 eV/atom

***

No. 4
## SmIn6Ag6 (PBE)

Data for SmIn6Ag6 after structural relaxation.

Structure (POSCAR):
```
SmIn6Ag6
1.0
-2.933 4.856 4.918
2.933 -4.856 4.918
2.933 4.856 -4.918
Sm In Ag
1 6 6
direct
0.000 0.000 0.000
0.183 0.683 0.500
0.343 0.343 0.000
0.345 0.000 0.345
0.655 0.000 0.655
0.657 0.657 0.000
0.817 0.317 0.500
0.000 0.000 0.500
0.000 0.500 0.000
0.234 0.500 0.734
0.500 0.000 0.000
0.500 0.500 0.500
0.766 0.500 0.266
```

Summary:
Energy relative to the elements   -0.168 eV/atom

***

No. 5
## Zn2BiSbO8 (PBE)

Data for Zn2BiSbO8 after structural relaxation.

Structure (POSCAR):
```
Zn2BiSbO8
1.0
-3.302 3.302 3.490
3.302 -3.302 3.490
3.302 3.302 -3.490
Zn Bi Sb O
2 1 1 8
direct
0.000 0.000 0.000
0.750 0.250 0.500
0.500 0.500 0.000
0.250 0.750 0.500
0.143 0.465 0.678
0.204 0.007 0.802
0.204 0.402 0.198
0.535 0.213 0.678
0.535 0.857 0.322
0.598 0.796 0.802
0.787 0.465 0.322
0.993 0.796 0.198
```

Summary:
ΔE_f (raw)   -18.03 kcal/mol of atoms

***

No. 6
## La3Ga2Au (PBE)

Data for La3Ga2Au after structural relaxation.

Structure (POSCAR):
```
La3Ga2Au
1.0
3.773 0.000 0.000
0.000 3.773 0.000
0.000 0.000 11.326
La Ga Au
3 2 1
direct
0.000 0.000 0.000
0.000 0.000 0.330
0.000 0.000 0.670
0.500 0.500 0.165
0.500 0.500 0.835
0.500 0.500 0.500
```

Summary:
Energy relative to the elements   -0.632 eV/atom

***

No. 7
## Cu3NiAs (PBE)

Data for Cu3NiAs after structural relaxation.

Structure (POSCAR):
```
Cu3NiAs
1.0
4.426 0.000 0.000
0.000 4.426 0.000
0.000 0.000 4.426
Cu Ni As
3 1 1
direct
0.000 0.000 0.500
0.000 0.500 0.000
0.500 0.000 0.000
0.500 0.500 0.500
0.000 0.000 0.000
```

Summary:
Energy relative to the elements   0.730 eV/atom
Energy relative to the lowest polymorph listed for this composition   0.000 eV/atom

***

No. 8
## V5Si5Os (PBE)

Data for V5Si5Os after structural relaxation.

Structure (POSCAR):
```
V5Si5Os
1.0
5.545 -2.321 0.000
5.545 2.321 0.000
-1.839 0.000 6.149
V Si Os
5 5 1
direct
0.000 0.000 0.000
0.350 0.350 0.129
0.398 0.398 0.783
0.602 0.602 0.217
0.650 0.650 0.871
0.183 0.183 0.795
0.206 0.206 0.404
0.500 0.500 0.500
0.794 0.794 0.596
0.817 0.817 0.205
0.000 0.000 0.500
```

Summary:
ΔE_f (raw)   1.78 kcal/mol of atoms

***

- Which formula does entry 2 have?
  Dy4Er3Zr